# 1
# Pr6NdCd2

An optimized crystal structure of Pr6NdCd2 (GGA-PBE, Alexandria via LeMat-Bulk).

Results
Distance to the lowest polymorph of the same formula, meV/atom: 61.4

Geometry as POSCAR:
```
Pr6NdCd2
1.0
7.9791 -5.9156 0.0000
7.9791 5.9156 0.0000
-0.6971 0.0000 6.2529
Pr Nd Cd
12 2 4
direct
0.0649 0.8199 0.9907 Pr
0.1472 0.3999 0.1650 Pr
0.1801 0.9351 0.5093 Pr
0.2330 0.5313 0.6894 Pr
0.3999 0.1472 0.6650 Pr
0.4687 0.7670 0.8106 Pr
0.5313 0.2330 0.1894 Pr
0.6001 0.8528 0.3350 Pr
0.7670 0.4687 0.3106 Pr
0.8199 0.0649 0.4907 Pr
0.8528 0.6001 0.8350 Pr
0.9351 0.1801 0.0093 Pr
0.3933 0.6067 0.2500 Nd
0.6067 0.3933 0.7500 Nd
0.0386 0.2891 0.5937 Cd
0.2891 0.0386 0.0937 Cd
0.7109 0.9614 0.9063 Cd
0.9614 0.7109 0.4063 Cd
```



# 2
# PrNd4Cd3

An optimized crystal structure of PrNd4Cd3 (GGA-PBE, Alexandria via LeMat-Bulk).

Geometry as POSCAR:
```
PrNd4Cd3
1.0
2.7505 1.5880 9.2393
-2.7505 1.5880 9.2393
0.0000 -3.1760 9.2393
Pr Nd Cd
1 4 3
direct
0.0000 0.0000 0.0000 Pr
0.1302 0.1302 0.1302 Nd
0.3842 0.3842 0.3842 Nd
0.6158 0.6158 0.6158 Nd
0.8698 0.8698 0.8698 Nd
0.2574 0.2574 0.2574 Cd
0.5000 0.5000 0.5000 Cd
0.7426 0.7426 0.7426 Cd
```



# 3
# Pr3Nd8Cd

An optimized crystal structure of Pr3Nd8Cd (GGA-PBE, Alexandria via LeMat-Bulk).

Geometry as POSCAR:
```
Pr3Nd8Cd
1.0
-4.3978 4.3978 5.7892
4.3978 -4.3978 5.7892
4.3978 4.3978 -5.7892
Pr Nd Cd
3 8 1
direct
0.0000 0.0000 0.0000 Pr
0.2500 0.7500 0.5000 Pr
0.7500 0.2500 0.5000 Pr
0.1246 0.1246 0.7475 Nd
0.2499 0.2499 0.5052 Nd
0.2553 0.7501 0.0000 Nd
0.3770 0.3770 0.2525 Nd
0.6230 0.8754 0.0000 Nd
0.7447 0.7447 0.4948 Nd
0.7501 0.2553 0.0000 Nd
0.8754 0.6230 0.0000 Nd
0.5000 0.5000 0.0000 Cd
```



# 4
# Pr2Nd6Cd

An optimized crystal structure of Pr2Nd6Cd (GGA-PBE, Alexandria via LeMat-Bulk).

Geometry as POSCAR:
```
Pr2Nd6Cd
1.0
7.9046 0.0000 0.0000
0.0000 6.9461 0.0000
-3.3814 0.0000 11.4712
Pr Nd Cd
4 12 2
direct
0.1028 0.0129 0.2605 Pr
0.1028 0.4871 0.7605 Pr
0.8972 0.5129 0.2395 Pr
0.8972 0.9871 0.7395 Pr
0.1559 0.6891 0.0320 Nd
0.1559 0.8109 0.5320 Nd
0.2617 0.1522 0.0077 Nd
0.2617 0.3478 0.5077 Nd
0.4184 0.0661 0.7670 Nd
0.4184 0.4339 0.2670 Nd
0.5816 0.5661 0.7330 Nd
0.5816 0.9339 0.2330 Nd
0.7383 0.6522 0.4923 Nd
0.7383 0.8478 0.9923 Nd
0.8441 0.1891 0.4680 Nd
0.8441 0.3109 0.9680 Nd
0.5000 0.0000 0.5000 Cd
0.5000 0.5000 0.0000 Cd
```



# 5
# Pr3Nd3Cd

An optimized crystal structure of Pr3Nd3Cd (GGA-PBE, Alexandria via LeMat-Bulk).

Results
Distance to the lowest polymorph of the same formula, meV/atom: 0.0

Geometry as POSCAR:
```
Pr3Nd3Cd
1.0
9.6842 0.0000 0.0000
-4.8421 8.3868 0.0000
0.0000 0.0000 5.7699
Pr Nd Cd
6 6 2
direct
0.1085 0.6302 0.2500 Pr
0.3698 0.4783 0.2500 Pr
0.4783 0.1085 0.7500 Pr
0.5217 0.8915 0.2500 Pr
0.6302 0.5217 0.7500 Pr
0.8915 0.3698 0.7500 Pr
0.0625 0.8178 0.7500 Nd
0.1822 0.2447 0.7500 Nd
0.2447 0.0625 0.2500 Nd
0.7553 0.9375 0.7500 Nd
0.8178 0.7553 0.2500 Nd
0.9375 0.1822 0.2500 Nd
0.3333 0.6667 0.7500 Cd
0.6667 0.3333 0.2500 Cd
```



# 6
# Pr6Nd3Cd

An optimized crystal structure of Pr6Nd3Cd (GGA-PBE, Alexandria via LeMat-Bulk).

Results
Distance to the lowest polymorph of the same formula, meV/atom: 0.0

Geometry as POSCAR:
```
Pr6Nd3Cd
1.0
11.2651 0.0000 0.0000
0.0000 5.2544 0.0000
-0.5334 0.0000 11.6406
Pr Nd Cd
12 6 2
direct
0.0437 0.2500 0.3880 Pr
0.1325 0.7500 0.1805 Pr
0.1548 0.2500 0.6825 Pr
0.2295 0.2500 0.9908 Pr
0.3444 0.7500 0.7967 Pr
0.4505 0.2500 0.6003 Pr
0.5495 0.7500 0.3997 Pr
0.6556 0.2500 0.2033 Pr
0.7705 0.7500 0.0092 Pr
0.8452 0.7500 0.3175 Pr
0.8675 0.2500 0.8195 Pr
0.9563 0.7500 0.6120 Pr
0.2456 0.7500 0.4869 Nd
0.3444 0.2500 0.2900 Nd
0.4484 0.7500 0.0961 Nd
0.5516 0.2500 0.9039 Nd
0.6556 0.7500 0.7100 Nd
0.7544 0.2500 0.5131 Nd
0.0561 0.7500 0.8904 Cd
0.9439 0.2500 0.1096 Cd
```



# 7
# Pr2NdCd6

An optimized crystal structure of Pr2NdCd6 (GGA-PBE, Alexandria via LeMat-Bulk).

Geometry as POSCAR:
```
Pr2NdCd6
1.0
8.8400 0.0000 0.0000
-4.4200 7.6557 0.0000
0.0000 0.0000 3.4796
Pr Nd Cd
2 1 6
direct
0.3333 0.6667 0.0000 Pr
0.6667 0.3333 0.0000 Pr
0.0000 0.0000 0.0000 Nd
0.0000 0.3326 0.5000 Cd
0.0000 0.6674 0.5000 Cd
0.3326 0.0000 0.5000 Cd
0.3326 0.3326 0.5000 Cd
0.6674 0.0000 0.5000 Cd
0.6674 0.6674 0.5000 Cd
```



# 8
# Pr3Nd2Cd3

An optimized crystal structure of Pr3Nd2Cd3 (GGA-PBE, Alexandria via LeMat-Bulk).

Geometry as POSCAR:
```
Pr3Nd2Cd3
1.0
-1.9387 2.7886 11.4148
1.9387 -2.7886 11.4148
1.9387 2.7886 -11.4148
Pr Nd Cd
3 2 3
direct
0.0000 0.0000 0.0000 Pr
0.3784 0.8784 0.5000 Pr
0.6216 0.1216 0.5000 Pr
0.2343 0.2343 0.0000 Nd
0.7657 0.7657 0.0000 Nd
0.1183 0.6183 0.5000 Cd
0.5000 0.5000 0.0000 Cd
0.8817 0.3817 0.5000 Cd
```



# 9
# Pr3Nd6Cd

An optimized crystal structure of Pr3Nd6Cd (GGA-PBE, Alexandria via LeMat-Bulk).

Results
Distance to the lowest polymorph of the same formula, meV/atom: 0.0

Geometry as POSCAR:
```
Pr3Nd6Cd
1.0
11.1756 0.0000 0.0000
0.0000 5.2577 0.0000
-0.6505 0.0000 11.6339
Pr Nd Cd
6 12 2
direct
0.0523 0.2500 0.4048 Pr
0.1571 0.7500 0.2113 Pr
0.2553 0.2500 0.0144 Pr
0.7447 0.7500 0.9856 Pr
0.8429 0.2500 0.7887 Pr
0.9477 0.7500 0.5952 Pr
0.0497 0.7500 0.8998 Nd
0.1572 0.2500 0.7048 Nd
0.2750 0.7500 0.5113 Nd
0.3447 0.7500 0.8204 Nd
0.3713 0.2500 0.3218 Nd
0.4577 0.7500 0.1137 Nd
0.5423 0.2500 0.8863 Nd
0.6287 0.7500 0.6782 Nd
0.6553 0.2500 0.1796 Nd
0.7250 0.2500 0.4887 Nd
0.8428 0.7500 0.2952 Nd
0.9503 0.2500 0.1002 Nd
0.4426 0.2500 0.6115 Cd
0.5574 0.7500 0.3885 Cd
```



# 10
# Pr4Nd5Cd2

An optimized crystal structure of Pr4Nd5Cd2 (GGA-PBE, Alexandria via LeMat-Bulk).

Geometry as POSCAR:
```
Pr4Nd5Cd2
1.0
8.8680 0.0000 0.0000
0.0000 3.5818 0.0000
-0.8977 0.0000 11.5040
Pr Nd Cd
4 5 2
direct
0.1493 0.0000 0.3755 Pr
0.2625 0.0000 0.9518 Pr
0.7375 0.0000 0.0482 Pr
0.8507 0.0000 0.6245 Pr
0.2015 0.5000 0.6656 Nd
0.4392 0.5000 0.2013 Nd
0.5000 0.5000 0.5000 Nd
0.5608 0.5000 0.7987 Nd
0.7985 0.5000 0.3344 Nd
0.0564 0.5000 0.1322 Cd
0.9436 0.5000 0.8678 Cd
```



# 11
# Pr4Nd3Cd

An optimized crystal structure of Pr4Nd3Cd (GGA-PBE, Alexandria via LeMat-Bulk).

Results
Distance to the lowest polymorph of the same formula, meV/atom: 54.7

Geometry as POSCAR:
```
Pr4Nd3Cd
1.0
4.2234 0.0000 0.0000
0.0000 4.2234 0.0000
0.0000 0.0000 15.1613
Pr Nd Cd
4 3 1
direct
0.0000 0.0000 0.1131 Pr
0.0000 0.0000 0.3777 Pr
0.0000 0.0000 0.6223 Pr
0.0000 0.0000 0.8869 Pr
0.5000 0.5000 0.2517 Nd
0.5000 0.5000 0.5000 Nd
0.5000 0.5000 0.7483 Nd
0.5000 0.5000 0.0000 Cd
```



# 12
# PrNdCd17

An optimized crystal structure of PrNdCd17 (GGA-PBE, Alexandria via LeMat-Bulk).

Geometry as POSCAR:
```
PrNdCd17
1.0
5.0547 2.9183 4.9911
-5.0547 2.9183 4.9911
0.0000 -5.8366 4.9911
Pr Nd Cd
1 1 17
direct
0.0000 0.0000 0.0000 Pr
0.3379 0.3379 0.3379 Nd
0.0300 0.0300 0.4999 Cd
0.0300 0.4999 0.0300 Cd
0.1645 0.6720 0.6720 Cd
0.3116 0.3116 0.8236 Cd
0.3116 0.8236 0.3116 Cd
0.3688 0.6679 0.9688 Cd
0.3688 0.9688 0.6679 Cd
0.4999 0.0300 0.0300 Cd
0.5666 0.5666 0.5666 Cd
0.6679 0.3688 0.9688 Cd
0.6679 0.9688 0.3688 Cd
0.6720 0.1645 0.6720 Cd
0.6720 0.6720 0.1645 Cd
0.7683 0.7683 0.7683 Cd
0.8236 0.3116 0.3116 Cd
0.9688 0.3688 0.6679 Cd
0.9688 0.6679 0.3688 Cd
```



Computed formation energy, in the same sequence as the records: -0.07, -0.17, 0.44, 0.09, -0.03, -0.03, -0.35, -0.24, -0.02, -0.01, 0.01, -0.16 eV/atom.
Computed DOS(E_F), in the same sequence as the records: 11.6, 10.6, 18.6, 11.6, 8.6, 15.0, 8.0, 10.4, 15.2, 14.9, 12.4, 4.0 states/eV/f.u..
Computed calculated total energy, in the same sequence as the records: -35.93, -27.97, -48.14, -38.26, -29.80, -44.15, -22.94, -28.50, -44.10, -44.95, -34.23, -28.16 eV per formula unit.